Entry 1:
Ba2BeSe (PBE, relaxed); ΔE_f (raw) = 0.115 eV/atom; ρ = 4.88 g/cm³; final energy = -2.6487 eV/atom; space-group type = F-43m (216); energy above the lowest structure with this stoichiometry = 259 kJ/mol of formula units
1.0
0.000 3.951 3.951
3.951 0.000 3.951
3.951 3.951 0.000
Ba Be Se
2 1 1
Cartesian
0.000 0.000 0.000
1.976 1.976 1.976
3.951 3.951 3.951
5.927 5.927 5.927



Entry 2:
BaBeSe3 (PBE, relaxed); ΔE_f (raw) = 0.792 eV/atom; ρ = 2.52 g/cm³; final energy = -2.4280 eV/atom; space-group type = Pm-3m (221); energy above the lowest structure with this stoichiometry = 748 kJ/mol of formula units
1.0
6.325 0.000 0.000
0.000 6.325 0.000
0.000 0.000 6.325
Ba Be Se
1 1 3
Cartesian
0.000 0.000 0.000
3.162 3.162 3.162
0.000 0.000 3.162
0.000 3.162 0.000
3.162 0.000 0.000



Entry 3:
BaBe2Se (PBE, relaxed); ΔE_f (raw) = -0.084 eV/atom; ρ = 4.02 g/cm³; final energy = -3.2989 eV/atom; space-group type = Pmm2 (25)
1.0
3.809 0.000 0.000
0.000 4.036 0.000
0.000 0.000 6.295
Ba Be Se
1 2 1
Cartesian
0.000 0.000 0.000
0.000 2.018 2.881
1.905 2.018 1.913
1.905 2.018 4.200



Entry 4:
BaBe2Se (PBE, relaxed); ΔE_f (raw) = -0.188 eV/atom; ρ = 4.17 g/cm³; final energy = -3.4030 eV/atom; space-group type = Cm (8)
1.0
4.037 -1.920 0.000
4.037 1.920 0.000
-1.308 0.000 6.019
Ba Be Se
1 2 1
Cartesian
0.000 0.000 0.000
2.637 0.000 2.188
4.932 0.000 2.390
1.132 0.000 3.745